Density functional theory data (PBE-GGA) for a relaxed structure of LaFe2Pt.

Cell and atoms, written as POSCAR:
```
LaFe2Pt
1.0
-2.067 2.067 4.178
2.067 -2.067 4.178
2.067 2.067 -4.178
La Fe Pt
1 2 1
Direct
0.000 0.000 0.000 La
0.500 0.500 0.000 Fe
0.750 0.250 0.500 Fe
0.250 0.750 0.500 Pt
```

The value obtained for the formation energy is 0.055 eV/atom.

---

Density functional theory data (PBE-GGA) for a relaxed structure of DyTmMnAg.

Cell and atoms, written as POSCAR:
```
DyTmMnAg
1.0
0.000 3.575 3.575
3.575 0.000 3.575
3.575 3.575 0.000
Dy Tm Mn Ag
1 1 1 1
Direct
0.000 0.000 0.000 Dy
0.500 0.500 0.500 Tm
0.250 0.250 0.250 Mn
0.750 0.750 0.750 Ag
```

The value obtained for the formation energy is -0.018 eV/atom.

---

Density functional theory data (PBE-GGA) for a relaxed structure of Tl12Se5S3.

Cell and atoms, written as POSCAR:
```
Tl12Se5S3
1.0
12.806 0.000 0.000
-6.403 11.090 0.000
0.000 0.000 4.380
Tl Se S
12 5 3
Direct
0.000 0.186 0.000 Tl
0.000 0.490 0.000 Tl
0.186 0.000 0.000 Tl
0.190 0.733 0.500 Tl
0.267 0.457 0.500 Tl
0.457 0.267 0.500 Tl
0.490 0.000 0.000 Tl
0.510 0.510 0.000 Tl
0.543 0.810 0.500 Tl
0.733 0.190 0.500 Tl
0.810 0.543 0.500 Tl
0.814 0.814 0.000 Tl
0.000 0.751 0.000 Se
0.249 0.249 0.000 Se
0.333 0.667 0.000 Se
0.667 0.333 0.000 Se
0.751 0.000 0.000 Se
0.000 0.335 0.500 S
0.335 0.000 0.500 S
0.665 0.665 0.500 S
```

The value obtained for the energy above the lowest structure with this stoichiometry is 0.0 kJ per mole of atoms. The value obtained for the formation energy (no corrections) is -0.2640 eV per atom.

---

Density functional theory data (PBE-GGA) for a relaxed structure of Os2Ru.

Cell and atoms, written as POSCAR:
```
Os2Ru
1.0
4.752 0.000 0.000
0.000 4.340 0.000
0.000 0.000 8.226
Os Ru
8 4
Direct
0.167 0.250 0.001 Os
0.169 0.250 0.334 Os
0.331 0.750 0.834 Os
0.333 0.750 0.501 Os
0.667 0.250 0.499 Os
0.669 0.250 0.166 Os
0.831 0.750 0.666 Os
0.833 0.750 0.999 Os
0.164 0.250 0.667 Ru
0.336 0.750 0.167 Ru
0.664 0.250 0.833 Ru
0.836 0.750 0.333 Ru
```

The value obtained for the formation energy is -0.006 eV/atom. The value obtained for the energy above the lowest structure with this stoichiometry is 1.1 kJ per mole of atoms.

---

Density functional theory data (PBE-GGA) for a relaxed structure of Sr2LiTlCl.

Cell and atoms, written as POSCAR:
```
Sr2LiTlCl
1.0
5.897 0.000 0.000
0.000 5.897 0.000
0.000 0.000 4.522
Sr Li Tl Cl
2 1 1 1
Direct
0.000 0.500 0.000 Sr
0.500 0.000 0.000 Sr
0.000 0.000 0.500 Li
0.500 0.500 0.500 Tl
0.000 0.000 0.000 Cl
```

The value obtained for the formation energy (no corrections) is -0.8169 eV per atom.

---

Density functional theory data (PBE-GGA) for a relaxed structure of Fe4Sb3.

Cell and atoms, written as POSCAR:
```
Fe4Sb3
1.0
5.977 0.000 0.000
-2.989 5.176 0.000
0.000 0.000 4.413
Fe Sb
4 3
Direct
0.000 0.000 0.248 Fe
0.000 0.000 0.752 Fe
0.333 0.667 0.500 Fe
0.667 0.333 0.500 Fe
0.000 0.500 0.000 Sb
0.500 0.000 0.000 Sb
0.500 0.500 0.000 Sb
```

The value obtained for the energy above the lowest structure with this stoichiometry is 69.0 kJ per mole of atoms. The value obtained for the formation energy (no corrections) is 0.8545 eV per atom.

---

Density functional theory data (PBE-GGA) for a relaxed structure of CaZrMn2Sb.

Cell and atoms, written as POSCAR:
```
CaZrMn2Sb
1.0
5.035 0.000 0.000
0.000 5.035 0.000
0.000 0.000 5.425
Ca Zr Mn Sb
1 1 2 1
Direct
0.000 0.000 0.000 Ca
0.500 0.500 0.000 Zr
0.000 0.500 0.500 Mn
0.500 0.000 0.500 Mn
0.500 0.500 0.500 Sb
```

The value obtained for the formation energy (no corrections) is 0.6216 eV per atom.

---

Density functional theory data (PBE-GGA) for a relaxed structure of Nd5SmTm3.

Cell and atoms, written as POSCAR:
```
Nd5SmTm3
1.0
8.274 -3.379 0.000
8.274 3.379 0.000
-4.068 0.000 10.898
Nd Sm Tm
10 2 6
Direct
0.107 0.117 0.553 Nd
0.117 0.107 0.053 Nd
0.190 0.810 0.750 Nd
0.247 0.412 0.658 Nd
0.412 0.247 0.158 Nd
0.588 0.753 0.842 Nd
0.753 0.588 0.342 Nd
0.810 0.190 0.250 Nd
0.883 0.893 0.947 Nd
0.893 0.883 0.447 Nd
0.256 0.744 0.250 Sm
0.744 0.256 0.750 Sm
0.145 0.334 0.875 Tm
0.334 0.145 0.375 Tm
0.500 0.500 0.000 Tm
0.500 0.500 0.500 Tm
0.666 0.855 0.625 Tm
0.855 0.666 0.125 Tm
```

The value obtained for the formation energy is 0.178 eV/atom. The value obtained for the energy above the lowest structure with this stoichiometry is 0.0 kJ per mole of atoms.

---

Density functional theory data (PBE-GGA) for a relaxed structure of AcNd7Sm4.

Cell and atoms, written as POSCAR:
```
AcNd7Sm4
1.0
6.434 0.000 0.000
-0.002 7.443 0.000
-2.145 -0.004 8.918
Ac Nd Sm
1 7 4
Direct
0.000 0.000 0.000 Ac
0.000 0.500 0.000 Nd
0.226 0.000 0.664 Nd
0.280 0.746 0.336 Nd
0.500 0.254 0.001 Nd
0.500 0.746 0.999 Nd
0.720 0.254 0.664 Nd
0.774 0.000 0.336 Nd
0.219 0.499 0.667 Sm
0.279 0.255 0.335 Sm
0.721 0.745 0.665 Sm
0.781 0.501 0.333 Sm
```

The value obtained for the formation energy is 0.012 eV/atom. The value obtained for the energy above the lowest structure with this stoichiometry is 0.0 kJ per mole of atoms.

---

Density functional theory data (PBE-GGA) for a relaxed structure of Ac3Ni2Cl.

Cell and atoms, written as POSCAR:
```
Ac3Ni2Cl
1.0
2.256 -7.457 0.000
2.256 7.457 0.000
0.000 0.000 10.683
Ac Ni Cl
6 4 2
Direct
0.112 0.888 0.750 Ac
0.379 0.621 0.555 Ac
0.379 0.621 0.945 Ac
0.621 0.379 0.055 Ac
0.621 0.379 0.445 Ac
0.888 0.112 0.250 Ac
0.000 0.000 0.000 Ni
0.000 0.000 0.500 Ni
0.486 0.514 0.250 Ni
0.514 0.486 0.750 Ni
0.221 0.779 0.250 Cl
0.779 0.221 0.750 Cl
```

The value obtained for the formation energy (no corrections) is -0.4563 eV per atom.

---

Density functional theory data (PBE-GGA) for a relaxed structure of TiVAs3.

Cell and atoms, written as POSCAR:
```
TiVAs3
1.0
4.726 0.000 0.000
0.000 4.726 0.000
0.000 0.000 4.726
Ti V As
1 1 3
Direct
0.000 0.000 0.000 Ti
0.500 0.500 0.500 V
0.000 0.500 0.500 As
0.500 0.000 0.500 As
0.500 0.500 0.000 As
```

The value obtained for the formation energy is 0.327 eV/atom. The value obtained for the energy above the lowest structure with this stoichiometry is 0.0 kJ per mole of atoms.

---

Density functional theory data (PBE-GGA) for a relaxed structure of CrAs2WBr.

Cell and atoms, written as POSCAR:
```
CrAs2WBr
1.0
4.704 0.000 0.000
0.000 4.704 0.000
0.000 0.000 4.943
Cr As W Br
1 2 1 1
Direct
0.000 0.000 0.000 Cr
0.000 0.500 0.000 As
0.500 0.000 0.000 As
0.500 0.500 0.500 W
0.000 0.000 0.500 Br
```

The value obtained for the energy above the lowest structure with this stoichiometry is 40.8 kJ per mole of atoms. The value obtained for the formation energy (no corrections) is 1.1874 eV per atom.

---

Density functional theory data (PBE-GGA) for a relaxed structure of Zn2CoRe.

Cell and atoms, written as POSCAR:
```
Zn2CoRe
1.0
2.600 0.000 0.000
0.000 2.600 0.000
0.000 0.000 7.999
Zn Co Re
2 1 1
Direct
0.000 0.000 0.231 Zn
0.000 0.000 0.769 Zn
0.500 0.500 0.000 Co
0.500 0.500 0.500 Re
```

The value obtained for the formation energy is 0.215 eV/atom. The value obtained for the energy above the lowest structure with this stoichiometry is 19.1 kJ per mole of atoms.

---

Density functional theory data (PBE-GGA) for a relaxed structure of BaCuSb2.

Cell and atoms, written as POSCAR:
```
BaCuSb2
1.0
3.388 -4.925 0.000
3.388 4.925 0.000
-0.018 0.000 3.454
Ba Cu Sb
1 1 2
Direct
0.000 0.000 0.000 Ba
0.500 0.500 0.000 Cu
0.000 0.500 0.500 Sb
0.500 0.000 0.500 Sb
```

The value obtained for the formation energy (no corrections) is 0.0117 eV per atom.

---

Density functional theory data (PBE-GGA) for a relaxed structure of Ac2Al3GePd4.

Cell and atoms, written as POSCAR:
```
Ac2Al3GePd4
1.0
4.518 0.000 0.000
0.000 4.518 0.000
0.000 0.000 10.215
Ac Al Ge Pd
2 3 1 4
Direct
0.000 0.500 0.248 Ac
0.500 0.000 0.752 Ac
0.000 0.000 0.000 Al
0.000 0.500 0.616 Al
0.500 0.000 0.384 Al
0.500 0.500 0.000 Ge
0.000 0.000 0.500 Pd
0.000 0.500 0.870 Pd
0.500 0.000 0.130 Pd
0.500 0.500 0.500 Pd
```

The value obtained for the formation energy is -0.828 eV/atom.

---

Density functional theory data (PBE-GGA) for a relaxed structure of PrNdHoGa.

Cell and atoms, written as POSCAR:
```
PrNdHoGa
1.0
0.000 3.851 3.851
3.851 0.000 3.851
3.851 3.851 0.000
Pr Nd Ho Ga
1 1 1 1
Direct
0.000 0.000 0.000 Pr
0.500 0.500 0.500 Nd
0.250 0.250 0.250 Ho
0.750 0.750 0.750 Ga
```

The value obtained for the formation energy is -0.099 eV/atom.

---

Density functional theory data (PBE-GGA) for a relaxed structure of Ca4OsN4.

Cell and atoms, written as POSCAR:
```
Ca4OsN4
1.0
6.048 0.000 0.000
2.109 5.723 0.000
2.802 -0.673 8.053
Ca Os N
8 2 8
Direct
0.056 0.235 0.433 Ca
0.191 0.228 0.019 Ca
0.263 0.720 0.151 Ca
0.426 0.295 0.622 Ca
0.574 0.705 0.378 Ca
0.737 0.280 0.849 Ca
0.809 0.772 0.981 Ca
0.944 0.765 0.567 Ca
0.387 0.799 0.757 Os
0.613 0.201 0.243 Os
0.164 0.011 0.672 N
0.268 0.553 0.884 N
0.301 0.481 0.378 N
0.415 0.021 0.207 N
0.585 0.979 0.793 N
0.699 0.519 0.622 N
0.732 0.447 0.116 N
0.836 0.989 0.328 N
```

The value obtained for the energy above the lowest structure with this stoichiometry is 0.0 kJ per mole of atoms. The value obtained for the formation energy (no corrections) is -0.6283 eV per atom.

---

Density functional theory data (PBE-GGA) for a relaxed structure of ZrMn2Re.

Cell and atoms, written as POSCAR:
```
ZrMn2Re
1.0
2.985 0.000 0.000
0.000 2.985 0.000
0.000 0.000 6.599
Zr Mn Re
1 2 1
Direct
0.000 0.000 0.000 Zr
0.500 0.500 0.286 Mn
0.500 0.500 0.714 Mn
0.000 0.000 0.500 Re
```

The value obtained for the formation energy is 0.040 eV/atom. The value obtained for the energy above the lowest structure with this stoichiometry is 0.0 kJ per mole of atoms.

---

Density functional theory data (PBE-GGA) for a relaxed structure of MgTi2SO.

Cell and atoms, written as POSCAR:
```
MgTi2SO
1.0
3.883 0.000 0.000
0.000 3.883 0.000
0.000 0.000 5.750
Mg Ti S O
1 2 1 1
Direct
0.000 0.000 0.000 Mg
0.000 0.500 0.500 Ti
0.500 0.000 0.500 Ti
0.500 0.500 0.000 S
0.500 0.500 0.500 O
```

The value obtained for the formation energy (no corrections) is -0.9422 eV per atom.

---

Density functional theory data (PBE-GGA) for a relaxed structure of Cr3GaFe.

Cell and atoms, written as POSCAR:
```
Cr3GaFe
1.0
4.239 0.000 0.000
0.000 4.239 0.000
0.000 0.000 4.239
Cr Ga Fe
3 1 1
Direct
0.000 0.000 0.500 Cr
0.000 0.500 0.000 Cr
0.500 0.000 0.000 Cr
0.500 0.500 0.500 Ga
0.000 0.000 0.000 Fe
```

The value obtained for the formation energy is 0.989 eV/atom. The value obtained for the energy above the lowest structure with this stoichiometry is 0.0 kJ per mole of atoms.

---

Density functional theory data (PBE-GGA) for a relaxed structure of MgTcAgH2.

Cell and atoms, written as POSCAR:
```
MgTcAgH2
1.0
3.788 0.000 0.000
0.000 3.788 0.000
0.000 0.000 5.650
Mg Tc Ag H
1 1 1 2
Direct
0.000 0.000 0.000 Mg
0.000 0.000 0.500 Tc
0.500 0.500 0.500 Ag
0.000 0.500 0.000 H
0.500 0.000 0.000 H
```

The uncorrected energy comes out at -3.29 eV per atom.

---

Density functional theory data (PBE-GGA) for a relaxed structure of PaVFe2.

Cell and atoms, written as POSCAR:
```
PaVFe2
1.0
2.887 0.000 0.000
0.000 2.887 0.000
0.000 0.000 6.891
Pa V Fe
1 1 2
Direct
0.000 0.000 0.000 Pa
0.000 0.000 0.500 V
0.500 0.500 0.302 Fe
0.500 0.500 0.698 Fe
```

The value obtained for the formation energy is -0.122 eV/atom. The value obtained for the energy above the lowest structure with this stoichiometry is 0.0 kJ per mole of atoms.

---

Density functional theory data (PBE-GGA) for a relaxed structure of Ta2NbInH.

Cell and atoms, written as POSCAR:
```
Ta2NbInH
1.0
4.152 0.000 0.000
0.000 4.152 0.000
0.000 0.000 4.462
Ta Nb In H
2 1 1 1
Direct
0.000 0.500 0.000 Ta
0.500 0.000 0.000 Ta
0.000 0.000 0.500 Nb
0.500 0.500 0.500 In
0.000 0.000 0.000 H
```

The uncorrected energy comes out at -7.98 eV per atom.

---

Density functional theory data (PBE-GGA) for a relaxed structure of Sc2TiCu.

Cell and atoms, written as POSCAR:
```
Sc2TiCu
1.0
1.480 0.854 10.245
-1.480 0.854 10.245
0.000 -1.709 10.245
Sc Ti Cu
2 1 1
Direct
0.094 0.094 0.094 Sc
0.906 0.906 0.906 Sc
0.000 0.000 0.000 Ti
0.500 0.500 0.500 Cu
```

The value obtained for the formation energy is 0.328 eV/atom.

---

Density functional theory data (PBE-GGA) for a relaxed structure of Te2MoCCl.

Cell and atoms, written as POSCAR:
```
Te2MoCCl
1.0
5.035 0.000 0.000
0.000 5.035 0.000
0.000 0.000 4.184
Te Mo C Cl
2 1 1 1
Direct
0.000 0.500 0.000 Te
0.500 0.000 0.000 Te
0.000 0.000 0.500 Mo
0.000 0.000 0.000 C
0.500 0.500 0.500 Cl
```

The value obtained for the formation energy (no corrections) is 1.0374 eV per atom.